Material: SrMgCd2Pt
Method: DFT, GGA-PBE
State: relaxed

Lattice parameters (Å, degrees): 4.428 4.428 12.703 90.00 90.00 90.00
Element x y z (fractional)
Sr 0.000 0.000 0.000
Sr 0.500 0.500 0.500
Mg 0.000 0.000 0.627
Mg 0.500 0.500 0.127
Cd 0.000 0.500 0.282
Cd 0.000 0.500 0.782
Cd 0.500 0.000 0.282
Cd 0.500 0.000 0.782
Pt 0.000 0.000 0.426
Pt 0.500 0.500 0.926

Results
The size of the total moment comes out at 0.0 μB per cell. As for the uncorrected energy: -2.63 eV/atom.